Material: Ac2SmCu2
Method: DFT, GGA-PBE
State: optimized geometry

It has space group Cmcm (No. 63), with a = 6.711 Å, b = 15.335 Å, c = 6.045 Å, α = 90.00°, β = 90.00° and γ = 90.00°. The distinct sites, in fractional coordinates, are Ac at (0.000, 0.085, 0.250), Ac at (0.000, 0.281, 0.750), Sm at (0.000, 0.500, 0.000) and Cu at (0.199, 0.107, 0.750).

For the total energy, the calculation gives -4.13 eV per atom. The calculation puts the magnetization at 0.00 μB/cell. The density of states at the Fermi level is 25.71 states/eV per cell. As for the formation energy: 0.095 eV per atom.

***

Material: Tm4Zn3Cu
Method: DFT, GGA-PBE
State: optimized geometry

It has space group P4/mmm (No. 123), with a = 3.490 Å, b = 3.490 Å, c = 14.028 Å, α = 90.00°, β = 90.00° and γ = 90.00°. The distinct sites, in fractional coordinates, are Tm at (0.000, 0.000, 0.119), Tm at (0.000, 0.000, 0.373), Zn at (0.500, 0.500, 0.248), Zn at (0.500, 0.500, 0.500) and Cu at (0.500, 0.500, 0.000).

For the total energy, the calculation gives -3.56 eV per atom. For the energy above the lowest structure with this stoichiometry, the calculation gives 0 meV per atom. The calculation puts the magnetization at 0.00 μB/cell. The density of states at the Fermi level is 5.43 states/eV per cell. As for the formation energy: -0.336 eV per atom.

***

Material: HfInAg2C
Method: DFT, GGA-PBE
State: optimized geometry

It has space group P4/mmm (No. 123), with a = 5.542 Å, b = 5.542 Å, c = 4.058 Å, α = 90.00°, β = 90.00° and γ = 90.00°. The distinct sites, in fractional coordinates, are Hf at (0.000, 0.000, 0.000), In at (0.500, 0.500, 0.500), Ag at (0.000, 0.500, 0.000) and C at (0.000, 0.000, 0.500).

For the total energy, the calculation gives -4.47 eV per atom. The calculation puts the magnetization at 0.00 μB/cell. The density of states at the Fermi level is 2.09 states/eV per cell. As for the formation energy: 1.057 eV per atom.

***

Material: Al2ZnP
Method: DFT, GGA-PBE
State: optimized geometry

It has space group Fm-3m (No. 225), with a = 6.361 Å, b = 6.361 Å, c = 6.361 Å, α = 90.00°, β = 90.00° and γ = 90.00°. The distinct sites, in fractional coordinates, are Al at (0.250, 0.250, 0.250), Zn at (0.000, 0.000, 0.000) and P at (0.000, 0.000, 0.500).

For the total energy, the calculation gives -3.34 eV per atom. For the energy above the lowest structure with this stoichiometry, the calculation gives 181 meV per atom. The calculation puts the magnetization at 0.00 μB/cell. The density of states at the Fermi level is 8.99 states/eV per cell. As for the formation energy: 0.200 eV per atom.

***

Material: Ba4PtN
Method: DFT, GGA-PBE
State: optimized geometry

It has space group C2/m (No. 12), with a = 18.319 Å, b = 6.161 Å, c = 9.623 Å, α = 90.00°, β = 107.53° and γ = 90.00°. The distinct sites, in fractional coordinates, are Ba at (0.057, 0.000, 0.377), Ba at (0.115, 0.500, 0.691), Ba at (0.137, 0.000, 0.967), Ba at (0.244, 0.500, 0.327), Pt at (0.219, 0.000, 0.318) and N at (0.100, 0.000, 0.678).

The formation energy without anion corrections comes out at -2.28 eV/f.u. For the total energy, the calculation gives -4.06 eV per atom. For the energy above the lowest structure with this stoichiometry, the calculation gives 84 meV per atom. The calculation puts the magnetization at 2.35 μB/cell. The density of states at the Fermi level is 15.14 states/eV per cell.

***

Material: DyThTaC3
Method: DFT, GGA-PBE
State: optimized geometry

It has space group P2_1/m (No. 11), with a = 7.413 Å, b = 3.710 Å, c = 8.381 Å, α = 90.00°, β = 95.57° and γ = 90.00°. The distinct sites, in fractional coordinates, are Dy at (0.127, 0.250, 0.141), Th at (0.338, 0.750, 0.832), Ta at (0.382, 0.750, 0.398), C at (0.123, 0.250, 0.866), C at (0.350, 0.250, 0.509) and C at (0.383, 0.750, 0.154).

For the total energy, the calculation gives -8.59 eV per atom. The calculation puts the magnetization at 0.00 μB/cell. The density of states at the Fermi level is 0.73 states/eV per cell. As for the formation energy: -0.002 eV per atom.

***

Material: GaSbSe2
Method: DFT, GGA-PBE
State: optimized geometry

It has space group Fm-3m (No. 225), with a = 7.127 Å, b = 7.127 Å, c = 7.127 Å, α = 90.00°, β = 90.00° and γ = 90.00°. The distinct sites, in fractional coordinates, are Ga at (0.000, 0.000, 0.000), Sb at (0.000, 0.000, 0.500) and Se at (0.250, 0.250, 0.250).

The formation energy without anion corrections comes out at 0.06 eV/f.u. For the total energy, the calculation gives -3.52 eV per atom. The calculation puts the magnetization at 0.00 μB/cell. The density of states at the Fermi level is 11.51 states/eV per cell.

***

Material: Be3AlNi4
Method: DFT, GGA-PBE
State: optimized geometry

It has space group R-3m (No. 166, hexagonal axes), with a = 3.8055 Å, b = 3.8055 Å, c = 18.7147 Å, α = 90.00°, β = 90.00° and γ = 120.00°. The distinct sites, in fractional coordinates, are Be at (0.0000, 0.0000, 0.0000), Be at (0.0000, 0.0000, 0.2508), Al at (0.0000, 0.0000, 0.5000), Ni at (0.0000, 0.0000, 0.1191) and Ni at (0.0000, 0.0000, 0.3716).

For the total energy, the calculation gives -5.23 eV per atom. The calculation puts the magnetization at 0.00 μB/cell. The density of states at the Fermi level is 16.97 states/eV per cell. As for the formation energy: -0.471 eV per atom.